Record 1
MnNi2Mo: relaxed, PBE-GGA.

```
MnNi2Mo
1.0
4.1173 0.0000 0.0000
2.0586 3.5657 0.0000
2.0586 1.1886 3.3618
Mn Mo Ni
1 1 2
direct
0.5000 0.5000 0.5000
0.7500 0.7500 0.7500
0.2500 0.2500 0.2500
0.0000 0.0000 0.0000
```

Relative energy among the computed polymorphs: 0.131 eV/atom
N(E_F): 4.5 states/eV/f.u.
SG: F-43m
Theoretical density: 9.03 Mg/m³
ΔE_f: 0.0937 eV per atom
Magnetic moment: 1.53 μB/cell

***

Record 2
B2PtI: relaxed, PBE-GGA.

```
B2PtI
1.0
0.0000 3.0624 3.0624
3.0624 0.0000 3.0624
3.0624 3.0624 0.0000
Pt I B
1 1 2
direct
0.5000 0.5000 0.5000
0.0000 0.0000 0.0000
0.7500 0.7500 0.7500
0.2500 0.2500 0.2500
```

Relative energy among the computed polymorphs: 1.180 eV/atom
N(E_F): 2.6 states/eV/f.u.
SG: Fm-3m
Theoretical density: 9.93 Mg/m³
E_form (uncorrected): 1.894 eV/atom
Magnetic moment: 0.00 μB/cell

***

Record 3
Hf3BAu: relaxed, PBE-GGA.

```
Hf3BAu
1.0
-0.7719 -2.1626 -3.9118
-1.3995 -3.6532 2.2958
-4.2451 1.5976 -0.0455
B Hf Au
1 3 1
direct
0.0000 0.0000 0.0000
0.0000 0.5000 0.0000
0.5000 0.0000 0.0000
0.0000 0.0000 0.5000
0.5000 0.5000 0.5000
```

Relative energy among the computed polymorphs: 0.000 eV/atom
N(E_F): 2.1 states/eV/f.u.
SG: Pm-3m
Theoretical density: 13.22 Mg/m³
ΔE_f: -0.3519 eV per atom
Magnetic moment: 0.00 μB/cell

***

Record 4
PtWCl2: relaxed, PBE-GGA.

```
PtWCl2
1.0
4.3487 0.0000 0.0000
0.0000 2.9425 0.0027
0.0000 -0.3284 5.2022
W Cl Pt
1 2 1
direct
0.5000 0.7500 0.7500
0.0000 0.9399 0.9889
0.0000 0.5601 0.5111
0.5000 0.2500 0.2500
```

Relative energy among the computed polymorphs: 0.734 eV/atom
N(E_F): 4.0 states/eV/f.u.
SG: P2/m
Theoretical density: 11.22 Mg/m³
E_form (uncorrected): 0.575 eV/atom
Magnetic moment: 0.00 μB/cell

***

Going through the records in order, we get raw total energy values of -7.797 -3.342 -8.315 -5.097 eV/atom.